# 1
A relaxed structure of HfZr2Pd8, computed with PBE.

## Properties
SG	C2/m, No. 12
energy of formation	-0.705	eV/atom
E_tot	-0.510	Ry per atom
crystal system	monoclinic

a b c (Å): 4.0891 6.6045 7.5099
angles (deg): 107.66 105.80 90.00
Sites, in units of the cell vectors:
Hf1 0.5000 0.0000 0.0000
Zr1 0.7806 0.3369 0.5613
Zr2 0.2194 0.6631 0.4387
Pd1 0.4023 0.5539 0.8046
Pd2 0.6774 0.9085 0.3548
Pd3 0.8594 0.8145 0.7189
Pd4 0.9607 0.2715 0.9215
Pd5 0.1406 0.1855 0.2811
Pd6 0.3226 0.0915 0.6452
Pd7 0.5977 0.4461 0.1954
Pd8 0.0393 0.7286 0.0785



# 2
A relaxed structure of HfZr3Pd12, computed with PBE.

## Properties
SG	P4/mmm, No. 123
energy of formation	-0.802	eV/atom
E_tot	-0.509	Ry per atom
crystal system	tetragonal

a b c (Å): 4.0275 4.0275 16.1237
angles (deg): 90.00 90.00 90.00
Sites, in units of the cell vectors:
Hf1 0.0000 0.0000 0.0000
Zr1 0.0000 0.0000 0.2494
Zr2 0.0000 0.0000 0.5000
Zr3 0.0000 0.0000 0.7506
Pd1 0.5000 0.5000 0.0000
Pd2 0.5000 0.5000 0.2490
Pd3 0.5000 0.5000 0.5000
Pd4 0.5000 0.5000 0.7510
Pd5 0.5000 0.0000 0.1236
Pd6 0.5000 0.0000 0.3744
Pd7 0.5000 0.0000 0.6256
Pd8 0.5000 0.0000 0.8764
Pd9 0.0000 0.5000 0.1236
Pd10 0.0000 0.5000 0.3744
Pd11 0.0000 0.5000 0.6256
Pd12 0.0000 0.5000 0.8764



# 3
A relaxed structure of HfZr3Pd, computed with PBE.

## Properties
SG	Pm-3m, No. 221
energy of formation	1.133	eV/atom
E_tot	-0.516	Ry per atom
energy relative to the lowest polymorph listed for this composition	625	meV per atom
crystal system	cubic

a b c (Å): 5.0963 5.0963 5.0963
angles (deg): 90.00 90.00 90.00
Sites, in units of the cell vectors:
Hf1 0.0000 0.0000 0.0000
Zr1 0.0000 0.5000 0.0000
Zr2 0.0000 0.0000 0.5000
Zr3 0.5000 0.0000 0.0000
Pd1 0.5000 0.5000 0.5000



# 4
A relaxed structure of PmHf, computed with PBE.

## Properties
SG	Pmmn, No. 59
energy of formation	0.216	eV/atom
E_tot	-0.524	Ry per atom
energy relative to the lowest polymorph listed for this composition	0	meV per atom
crystal system	orthorhombic

a b c (Å): 3.3336 5.3620 6.1353
angles (deg): 90.00 90.00 90.00
Sites, in units of the cell vectors:
Hf1 0.7501 0.7500 0.5683
Hf2 0.2499 0.2500 0.4317
Pm1 0.2501 0.7500 0.1024
Pm2 0.7499 0.2500 0.8976



# 5
A relaxed structure of PmHf3, computed with PBE.

## Properties
SG	I4/mmm, No. 139
energy of formation	0.224	eV/atom
E_tot	-0.619	Ry per atom
energy relative to the lowest polymorph listed for this composition	63	meV per atom
crystal system	tetragonal

a b c (Å): 4.6126 4.6126 5.6312
angles (deg): 114.18 114.18 90.00
Sites, in units of the cell vectors:
Hf1 0.7500 0.2500 0.5000
Hf2 0.2500 0.7500 0.5000
Hf3 0.5000 0.5000 0.0000
Pm1 0.0000 0.0000 0.0000



# 6
A relaxed structure of PmHf4, computed with PBE.

## Properties
SG	Pm-3m, No. 221
energy of formation	1.509	eV/atom
E_tot	-0.544	Ry per atom
crystal system	cubic

a b c (Å): 5.1190 5.1190 5.1190
angles (deg): 90.00 90.00 90.00
Sites, in units of the cell vectors:
Hf1 0.0000 0.0000 0.0000
Hf2 0.5000 0.0000 0.5000
Hf3 0.0000 0.5000 0.5000
Hf4 0.5000 0.5000 0.0000
Pm1 0.5000 0.5000 0.5000



# 7
A relaxed structure of PmHf3, computed with PBE.

## Properties
SG	Pmm2, No. 25
energy of formation	0.161	eV/atom
E_tot	-0.624	Ry per atom
energy relative to the lowest polymorph listed for this composition	0	meV per atom
crystal system	orthorhombic

a b c (Å): 3.2816 5.1997 5.8141
angles (deg): 90.00 90.00 90.00
Sites, in units of the cell vectors:
Hf1 0.0000 0.0000 0.9838
Hf2 0.5000 0.0000 0.5260
Hf3 0.5000 0.5000 0.8280
Pm1 0.0000 0.5000 0.3289



# 8
A relaxed structure of PmHf3, computed with PBE.

## Properties
SG	Pm-3m, No. 221
energy of formation	0.238	eV/atom
E_tot	-0.618	Ry per atom
energy relative to the lowest polymorph listed for this composition	77	meV per atom
crystal system	cubic

a b c (Å): 4.6118 4.6118 4.6118
angles (deg): 90.00 90.00 90.00
Sites, in units of the cell vectors:
Hf1 0.0000 0.5000 0.5000
Hf2 0.5000 0.0000 0.5000
Hf3 0.5000 0.5000 0.0000
Pm1 0.0000 0.0000 0.0000